# 1
A relaxed structure of Pu2Be3AlAu4. Source: Alexandria via LeMat-Bulk, functional GGA-PBE.

As for the magnetic moment: 11.2 μB per cell. The final energy is -5.968 eV per atom. As for the formation energy: -0.299 eV per atom.

Geometry as CIF:
```
data_Pu2Be3AlAu4
_chemical_formula_sum 'Pu2 Be3 Al1 Au4'
_space_group_name_H-M_alt 'P -4 m 2'
_space_group_IT_number 115
_cell_length_a 4.2833
_cell_length_b 4.2833
_cell_length_c 9.7366
_cell_angle_alpha 90.00
_cell_angle_beta 90.00
_cell_angle_gamma 90.00
loop_
_space_group_symop_operation_xyz
'x,y,z'
'y,-x,-z'
'-x,-y,z'
'-y,x,-z'
'-x,y,z'
'-y,-x,-z'
'x,-y,z'
'y,x,-z'
loop_
_atom_site_label
_atom_site_type_symbol
_atom_site_fract_x
_atom_site_fract_y
_atom_site_fract_z
Pu1 Pu 0.0000 0.5000 0.2479
Be1 Be 0.0000 0.5000 0.8827
Be2 Be 0.5000 0.5000 0.5000
Al1 Al 0.0000 0.0000 0.5000
Au1 Au 0.0000 0.0000 0.0000
Au2 Au 0.0000 0.5000 0.6402
Au3 Au 0.5000 0.5000 0.0000
```


# 2
A relaxed structure of LiCaRhF6. Source: Alexandria via LeMat-Bulk, functional GGA-PBE.

As for the magnetic moment: 0.3 μB per cell. The final energy is -5.146 eV per atom.

Geometry as CIF:
```
data_LiCaRhF6
_chemical_formula_sum 'Li2 Ca2 Rh2 F12'
_space_group_name_H-M_alt 'P 42 n m'
_space_group_IT_number 102
_cell_length_a 4.9577
_cell_length_b 4.9577
_cell_length_c 9.8162
_cell_angle_alpha 90.00
_cell_angle_beta 90.00
_cell_angle_gamma 90.00
loop_
_space_group_symop_operation_xyz
'x,y,z'
'-y+1/2,x+1/2,z+1/2'
'-x,-y,z'
'y+1/2,-x+1/2,z+1/2'
'-x+1/2,y+1/2,z+1/2'
'y,x,z'
'x+1/2,-y+1/2,z+1/2'
'-y,-x,z'
loop_
_atom_site_label
_atom_site_type_symbol
_atom_site_fract_x
_atom_site_fract_y
_atom_site_fract_z
Li1 Li 0.0000 0.0000 0.0000
Ca1 Ca 0.0000 0.0000 0.6670
Rh1 Rh 0.0000 0.0000 0.3326
F1 F 0.1806 0.1806 0.1723
F2 F 0.1979 0.1979 0.4832
F3 F 0.2127 0.2127 0.8394
```


# 3
A relaxed structure of Ba2NiAg. Source: Alexandria via LeMat-Bulk, functional GGA-PBE.

As for the magnetic moment: 0.0 μB per cell. For the energy above the most stable polymorph in this dataset, the calculation gives 0.306 eV per atom. The final energy is -2.864 eV per atom. As for the formation energy: 0.256 eV per atom.

Geometry as CIF:
```
data_Ba2NiAg
_chemical_formula_sum 'Ba8 Ni4 Ag4'
_space_group_name_H-M_alt 'F -4 3 m'
_space_group_IT_number 216
_space_group_name_Hall 'F -4 2 3'
_cell_length_a 7.6273
_cell_length_b 7.6273
_cell_length_c 7.6273
_cell_angle_alpha 90.00
_cell_angle_beta 90.00
_cell_angle_gamma 90.00
loop_
_atom_site_label
_atom_site_type_symbol
_atom_site_fract_x
_atom_site_fract_y
_atom_site_fract_z
Ba1 Ba 0.0000 0.0000 0.0000
Ba2 Ba 0.2500 0.2500 0.2500
Ni1 Ni 0.2500 0.2500 0.7500
Ag1 Ag 0.0000 0.0000 0.5000
```